Density functional theory data (PBE) for As3Pb after structural relaxation.

Calculated values
calculated formation energy	135	kJ/mol of atoms
M_tot	0.5	μB per formula unit

Cell: 5.5275 5.5275 5.5275 Å, 90.00 90.00 90.00°
Last column: magnetic moment on the atom in μB.
Positions (direct):
As 0.5000 0.0000 0.0000  0.08
As 0.0000 0.0000 0.5000  0.08
As 0.0000 0.5000 0.0000  0.08
Pb 0.0000 0.0000 0.0000  0.01